No. 1
# Sc4Br, optimized geometry, DFT PBE-GGA
# **Energy relative to the lowest polymorph listed for this composition**: 0.10 eV per formula unit
# **Energy relative to the elements, uncorrected**: -6.3 kJ/mol of atoms
# **N(E_F)**: 1.671 states/eV/atom
# **Electronic total energy**: -27.3 eV/f.u.
data_Sc4Br
_space_group_name_H-M_alt 'P m -3 m'
_space_group_IT_number 221
_space_group_name_Hall '-P 4 2 3'
_cell_length_a 5.035
_cell_length_b 5.035
_cell_length_c 5.035
_cell_angle_alpha 90.00
_cell_angle_beta 90.00
_cell_angle_gamma 90.00
loop_
_atom_site_label
_atom_site_type_symbol
_atom_site_fract_x
_atom_site_fract_y
_atom_site_fract_z
Sc1 Sc 0.000 0.000 0.000
Sc2 Sc 0.000 0.500 0.500
Br1 Br 0.500 0.500 0.500



No. 2
# ZrHg2Au, optimized geometry, DFT PBE-GGA
# **ΔH_f (0 K)**: -0.12 eV per atom
# **Energy relative to the lowest polymorph listed for this composition**: 0.16 eV per formula unit
# **N(E_F)**: 0.741 states/eV/atom
# **Electronic total energy**: -12.9 eV/f.u.
data_ZrHg2Au
_space_group_name_H-M_alt 'P m m m'
_space_group_IT_number 47
_cell_length_a 4.235
_cell_length_b 4.294
_cell_length_c 4.650
_cell_angle_alpha 90.00
_cell_angle_beta 90.00
_cell_angle_gamma 90.00
loop_
_space_group_symop_operation_xyz
'x,y,z'
'-x,-y,-z'
'-x,-y,z'
'x,y,-z'
'x,-y,-z'
'-x,y,z'
'-x,y,-z'
'x,-y,z'
loop_
_atom_site_label
_atom_site_type_symbol
_atom_site_fract_x
_atom_site_fract_y
_atom_site_fract_z
Zr1 Zr 0.000 0.000 0.000
Hg1 Hg 0.000 0.500 0.500
Hg2 Hg 0.500 0.000 0.500
Au1 Au 0.500 0.500 0.000



No. 3
# TeAuCl4, optimized geometry, DFT PBE-GGA
# **Energy relative to the elements, uncorrected**: 78.8 kJ/mol of atoms
# **N(E_F)**: 1.302 states/eV/atom
# **Electronic total energy**: -8.9 eV/f.u.
data_TeAuCl4
_space_group_name_H-M_alt 'F -4 3 m'
_space_group_IT_number 216
_space_group_name_Hall 'F -4 2 3'
_cell_length_a 8.212
_cell_length_b 8.212
_cell_length_c 8.212
_cell_angle_alpha 90.00
_cell_angle_beta 90.00
_cell_angle_gamma 90.00
loop_
_atom_site_label
_atom_site_type_symbol
_atom_site_fract_x
_atom_site_fract_y
_atom_site_fract_z
Te1 Te 0.000 0.000 0.000
Au1 Au 0.250 0.250 0.750
Cl1 Cl 0.124 0.124 0.376



No. 4
# Sc3BiI, optimized geometry, DFT PBE-GGA
# **Energy relative to the lowest polymorph listed for this composition**: 0.51 eV per formula unit
# **Energy relative to the elements, uncorrected**: 30.8 kJ/mol of atoms
# **N(E_F)**: 2.108 states/eV/atom
# **Electronic total energy**: -22.8 eV/f.u.
data_Sc3BiI
_space_group_name_H-M_alt 'P m -3 m'
_space_group_IT_number 221
_space_group_name_Hall '-P 4 2 3'
_cell_length_a 5.601
_cell_length_b 5.601
_cell_length_c 5.601
_cell_angle_alpha 90.00
_cell_angle_beta 90.00
_cell_angle_gamma 90.00
loop_
_atom_site_label
_atom_site_type_symbol
_atom_site_fract_x
_atom_site_fract_y
_atom_site_fract_z
Sc1 Sc 0.000 0.000 0.500
Bi1 Bi 0.000 0.000 0.000
I1 I 0.500 0.500 0.500



No. 5
# Pr3Ti5Sb12, optimized geometry, DFT PBE-GGA
# **Energy relative to the elements, uncorrected**: -13.7 kJ/mol of atoms
# **N(E_F)**: 0.531 states/eV/atom
# **Electronic total energy**: -106.1 eV/f.u.
data_Pr3Ti5Sb12
_space_group_name_H-M_alt 'I a -3 d'
_space_group_IT_number 230
_space_group_name_Hall '-I 4bd 2c 3'
_cell_length_a 17.174
_cell_length_b 17.174
_cell_length_c 17.174
_cell_angle_alpha 90.00
_cell_angle_beta 90.00
_cell_angle_gamma 90.00
loop_
_atom_site_label
_atom_site_type_symbol
_atom_site_fract_x
_atom_site_fract_y
_atom_site_fract_z
Pr1 Pr 0.000 0.250 0.125
Ti1 Ti 0.000 0.000 0.000
Ti2 Ti 0.000 0.250 0.375
Sb1 Sb 0.033 0.067 0.645



No. 6
# Si3PtW, optimized geometry, DFT PBE-GGA
# **Energy relative to the lowest polymorph listed for this composition**: 2.20 eV per formula unit
# **Energy relative to the elements, uncorrected**: 130.0 kJ/mol of atoms
# **N(E_F)**: 1.438 states/eV/atom
# **Electronic total energy**: -28.5 eV/f.u.
data_Si3PtW
_space_group_name_H-M_alt 'P m -3 m'
_space_group_IT_number 221
_space_group_name_Hall '-P 4 2 3'
_cell_length_a 4.599
_cell_length_b 4.599
_cell_length_c 4.599
_cell_angle_alpha 90.00
_cell_angle_beta 90.00
_cell_angle_gamma 90.00
loop_
_atom_site_label
_atom_site_type_symbol
_atom_site_fract_x
_atom_site_fract_y
_atom_site_fract_z
Si1 Si 0.000 0.000 0.500
Pt1 Pt 0.000 0.000 0.000
W1 W 0.500 0.500 0.500



No. 7
# CaSc2Se3, optimized geometry, DFT PBE-GGA
# **Energy relative to the elements, uncorrected**: -163.9 kJ/mol of atoms
# **N(E_F)**: 0.434 states/eV/atom
# **Electronic total energy**: -35.3 eV/f.u.
data_CaSc2Se3
_space_group_name_H-M_alt 'I m m m'
_space_group_IT_number 71
_space_group_name_Hall '-I 2 2'
_cell_length_a 3.956
_cell_length_b 5.626
_cell_length_c 11.934
_cell_angle_alpha 90.00
_cell_angle_beta 90.00
_cell_angle_gamma 90.00
loop_
_atom_site_label
_atom_site_type_symbol
_atom_site_fract_x
_atom_site_fract_y
_atom_site_fract_z
Ca1 Ca 0.000 0.000 0.000
Sc1 Sc 0.000 0.000 0.339
Se1 Se 0.000 0.500 0.000
Se2 Se 0.000 0.500 0.324



No. 8
# Tm6Te3AuS2, optimized geometry, DFT PBE-GGA
# **Energy relative to the elements, uncorrected**: -134.2 kJ/mol of atoms
# **N(E_F)**: 0.411 states/eV/atom
# **Electronic total energy**: -64.5 eV/f.u.
data_Tm6Te3AuS2
_space_group_name_H-M_alt 'C 1 2/m 1'
_space_group_IT_number 12
_cell_length_a 7.123
_cell_length_b 12.308
_cell_length_c 7.291
_cell_angle_alpha 90.00
_cell_angle_beta 108.87
_cell_angle_gamma 90.00
loop_
_space_group_symop_operation_xyz
'x,y,z'
'-x,-y,-z'
'-x,y,-z'
'x,-y,z'
'x+1/2,y+1/2,z'
'-x+1/2,-y+1/2,-z'
'-x+1/2,y+1/2,-z'
'x+1/2,-y+1/2,z'
loop_
_atom_site_label
_atom_site_type_symbol
_atom_site_fract_x
_atom_site_fract_y
_atom_site_fract_z
Tm1 Tm 0.235 0.000 0.215
Tm2 Tm 0.239 0.332 0.215
Te1 Te 0.000 0.000 0.500
Te2 Te 0.000 0.332 0.500
Au1 Au 0.000 0.500 0.000
S1 S 0.000 0.166 0.000



No. 9
# Np6Tl3O20, optimized geometry, DFT PBE-GGA
# **Energy relative to the elements, uncorrected**: -200.2 kJ/mol of atoms
# **N(E_F)**: 0.976 states/eV/atom
# **Electronic total energy**: -244.1 eV/f.u.
data_Np6Tl3O20
_space_group_name_H-M_alt 'F m -3 m'
_space_group_IT_number 225
_space_group_name_Hall '-F 4 2 3'
_cell_length_a 11.435
_cell_length_b 11.435
_cell_length_c 11.435
_cell_angle_alpha 90.00
_cell_angle_beta 90.00
_cell_angle_gamma 90.00
loop_
_atom_site_label
_atom_site_type_symbol
_atom_site_fract_x
_atom_site_fract_y
_atom_site_fract_z
Np1 Np 0.000 0.000 0.232
Tl1 Tl 0.000 0.000 0.500
Tl2 Tl 0.250 0.250 0.250
O1 O 0.000 0.158 0.342
O2 O 0.111 0.111 0.111



No. 10
# Ce3HoRu, optimized geometry, DFT PBE-GGA
# **ΔH_f (0 K)**: -0.04 eV per atom
# **N(E_F)**: 2.206 states/eV/atom
# **Electronic total energy**: -31.9 eV/f.u.
data_Ce3HoRu
_space_group_name_H-M_alt 'P m n 21'
_space_group_IT_number 31
_cell_length_a 7.141
_cell_length_b 6.338
_cell_length_c 6.174
_cell_angle_alpha 90.00
_cell_angle_beta 90.00
_cell_angle_gamma 90.00
loop_
_space_group_symop_operation_xyz
'x,y,z'
'-x+1/2,-y,z+1/2'
'-x,y,z'
'x+1/2,-y,z+1/2'
loop_
_atom_site_label
_atom_site_type_symbol
_atom_site_fract_x
_atom_site_fract_y
_atom_site_fract_z
Ce1 Ce 0.000 0.088 0.000
Ce2 Ce 0.237 0.719 0.003
Ho1 Ho 0.000 0.795 0.503
Ru1 Ru 0.000 0.435 0.235



No. 11
# Pr5HoIn4, optimized geometry, DFT PBE-GGA
# **ΔH_f (0 K)**: -0.11 eV per atom
# **Energy relative to the lowest polymorph listed for this composition**: 2.56 eV per formula unit
# **N(E_F)**: 1.027 states/eV/atom
# **Electronic total energy**: -40.6 eV/f.u.
data_Pr5HoIn4
_space_group_name_H-M_alt 'P m m n'
_space_group_IT_number 59
_cell_length_a 8.475
_cell_length_b 9.213
_cell_length_c 8.816
_cell_angle_alpha 90.00
_cell_angle_beta 90.00
_cell_angle_gamma 90.00
loop_
_space_group_symop_operation_xyz
'x,y,z'
'-x,-y,-z'
'-x+1/2,-y+1/2,z'
'x+1/2,y+1/2,-z'
'x+1/2,-y,-z'
'-x+1/2,y,z'
'-x,y+1/2,-z'
'x,-y+1/2,z'
loop_
_atom_site_label
_atom_site_type_symbol
_atom_site_fract_x
_atom_site_fract_y
_atom_site_fract_z
Pr1 Pr 0.004 0.056 0.235
Pr2 Pr 0.250 0.750 0.155
Ho1 Ho 0.250 0.250 0.585
In1 In 0.090 0.250 0.936
In2 In 0.250 0.588 0.490



No. 12
# Ni5Ir6W, optimized geometry, DFT PBE-GGA
# **ΔH_f (0 K)**: -0.06 eV per atom
# **N(E_F)**: 1.217 states/eV/atom
# **Electronic total energy**: -95.7 eV/f.u.
data_Ni5Ir6W
_space_group_name_H-M_alt 'I m m m'
_space_group_IT_number 71
_space_group_name_Hall '-I 2 2'
_cell_length_a 3.831
_cell_length_b 7.228
_cell_length_c 11.466
_cell_angle_alpha 90.00
_cell_angle_beta 90.00
_cell_angle_gamma 90.00
loop_
_atom_site_label
_atom_site_type_symbol
_atom_site_fract_x
_atom_site_fract_y
_atom_site_fract_z
Ni1 Ni 0.000 0.000 0.000
Ni2 Ni 0.000 0.000 0.340
Ni3 Ni 0.000 0.500 0.333
Ir1 Ir 0.000 0.248 0.169
Ir2 Ir 0.000 0.257 0.500
W1 W 0.000 0.500 0.000